1.
! Li2GaAg meta-GGA SCAN PBEsol geometry; values from VASP
&SYSTEM
  ibrav = 0, nat = 4, ntyp = 3
/
ATOMIC_SPECIES
Ag 107.87 Ag.upf
Ga 69.72 Ga.upf
Li 6.94 Li.upf
CELL_PARAMETERS angstrom
4.375 0.000 0.000
2.187 3.789 0.000
2.187 1.263 3.572
ATOMIC_POSITIONS crystal
Ag 0.750 0.750 0.750
Ga 0.000 0.000 0.000
Li 0.250 0.250 0.250
Li 0.500 0.500 0.500
! Formation energy from the elements in eV per atom: -0.346
! Symmetry: F-43m
! E_tot in eV for the cell shown: -53.88



2.
! Zr2SnIrS meta-GGA SCAN PBEsol geometry; values from VASP
&SYSTEM
  ibrav = 0, nat = 5, ntyp = 4
/
ATOMIC_SPECIES
S 32.06 S.upf
Ir 192.22 Ir.upf
Sn 118.71 Sn.upf
Zr 91.22 Zr.upf
CELL_PARAMETERS angstrom
4.230 0.000 0.000
0.000 5.193 0.000
0.000 0.000 5.193
ATOMIC_POSITIONS crystal
S 0.500 0.000 0.000
Ir 0.000 0.000 0.000
Sn 0.500 0.500 0.500
Zr 0.000 0.000 0.500
Zr 0.000 0.500 0.000
! Formation energy without anion corrections in eV/atom: -0.071
! Symmetry: P4/mmm
! E_tot in eV for the cell shown: -178.40